[1]
## V4Co2Ge (PBE)

Data for an optimized crystal structure of V4Co2Ge.

- Size of the total moment: 1.0 μB per formula unit
- Density of states at the Fermi level: 1.51 states/eV per atom
- Energy of formation from the pure elements: 0.887 eV/atom

```
V4Co2Ge
1.0
4.4368 0.0000 0.0000
0.0000 4.4368 0.0000
2.2184 2.2184 5.8406
V Ge Co
4 1 2
Cartesian
2.2184 2.2184 3.4260 V
2.2184 0.0000 0.0000 V
4.4368 4.4368 2.4146 V
0.0000 2.2184 0.0000 V
0.0000 0.0000 0.0000 Ge
4.4368 4.4368 4.5490 Co
2.2184 2.2184 1.2917 Co
```

=====

[2]
## YAgTe2 (PBE)

Data for an optimized crystal structure of YAgTe2.

- Size of the total moment: 0.0 μB per formula unit
- Density of states at the Fermi level: 0.47 states/eV per atom
- Total energy: -4.535 eV/atom

```
YAgTe2
1.0
6.4032 0.0088 0.0000
3.4867 5.3706 0.0000
-4.9449 -2.6897 3.0518
Ag Te Y
1 2 1
Cartesian
3.2016 0.0044 1.5259 Ag
1.7433 2.6853 1.5259 Te
0.0000 0.0000 0.0000 Te
4.9449 2.6897 0.0000 Y
```

=====

[3]
## ScTa2Re (PBE)

Data for an optimized crystal structure of ScTa2Re.

- Size of the total moment: 0.0 μB per formula unit
- Density of states at the Fermi level: 1.13 states/eV per atom
- Energy of formation from the pure elements: 0.176 eV/atom
- Offset from the most stable computed form: 0.272 eV/atom

```
ScTa2Re
1.0
9.2436 0.0027 0.0016
8.7338 3.0273 0.0016
8.7338 1.4721 2.6453
Sc Ta Re
1 2 1
Cartesian
6.5223 1.0993 0.6467 Sc
0.1272 0.0214 0.0126 Ta
20.1825 3.4018 2.0012 Ta
13.2345 2.2307 1.3123 Re
```

=====

[4]
## PrSmEuLu (PBE)

Data for an optimized crystal structure of PrSmEuLu.

- Size of the total moment: 7.6 μB per formula unit
- Density of states at the Fermi level: 1.56 states/eV per atom
- Energy of formation from the pure elements: 0.130 eV/atom

```
PrSmEuLu
1.0
5.8132 0.0000 0.0000
2.9066 5.0343 0.0000
2.9066 1.6781 4.7464
Pr Sm Lu Eu
1 1 1 1
Cartesian
5.8132 3.3562 2.3732 Pr
0.0000 0.0000 0.0000 Sm
2.9066 1.6781 1.1866 Lu
8.7197 5.0343 3.5598 Eu
```

=====

[5]
## LaHf2N4 (PBE)

Data for an optimized crystal structure of LaHf2N4.

- Size of the total moment: 0.0 μB per formula unit
- Density of states at the Fermi level: 0.56 states/eV per atom
- Total energy: -9.717 eV/atom

```
LaHf2N4
1.0
-2.8281 1.2520 1.0750
-0.7023 -1.1674 -5.4745
-3.4133 -9.8985 2.5486
N La Hf
8 2 4
Cartesian
-5.8313 -7.2729 -1.8836 N
-1.4141 0.6260 0.5375 N
-3.1207 -4.3232 1.8118 N
-1.1124 -2.5409 0.0327 N
-3.8586 -3.5340 -1.0485 N
-4.0521 -9.0839 -0.0804 N
-2.8916 -0.7299 -1.7704 N
-3.0851 -6.2798 -0.8024 N
-4.4353 -6.9158 1.3730 La
-2.5084 -2.8980 -3.2239 La
-2.0437 -4.4378 -0.2081 Hf
-6.1546 -9.0143 -0.7060 Hf
-0.7892 -0.7996 -1.1449 Hf
-4.9000 -5.3761 -1.6428 Hf
```

=====

[6]
## CsAc2NpS5 (PBE)

Data for an optimized crystal structure of CsAc2NpS5.

- Size of the total moment: 4.0 μB per formula unit
- Density of states at the Fermi level: 1.20 states/eV per atom
- Total energy: -6.519 eV/atom

```
CsAc2NpS5
1.0
-0.7178 0.4963 -5.0478
4.3093 -6.1082 -1.2133
-7.7177 -1.4560 3.5536
Cs S Np Ac
1 5 1 2
Cartesian
2.1547 -3.0541 -0.6067 Cs
-5.3232 -1.3288 0.6263 S
0.0000 0.0000 0.0000 S
-1.1447 -2.4199 -2.6745 S
-2.9815 -4.6480 -0.0330 S
1.1970 -5.7391 -3.3338 S
-0.3589 0.2481 -2.5239 Np
-1.6667 -5.2978 -2.8832 Ac
-2.4595 -1.7701 0.1757 Ac
```

=====

[7]
## GdHoTl (PBE)

Data for an optimized crystal structure of GdHoTl.

- Size of the total moment: 7.4 μB per formula unit
- Density of states at the Fermi level: 1.38 states/eV per atom
- Energy of formation from the pure elements: -0.148 eV/atom
- Offset from the most stable computed form: 0.086 eV/atom

```
GdHoTl
1.0
-3.6174 0.7247 0.0663
0.0860 -0.0530 5.2684
0.8539 4.5008 -2.6038
Gd Ho Tl
1 1 1
Cartesian
-0.7291 3.2487 0.0446 Gd
-3.2652 0.6541 0.0599 Ho
-2.3006 1.9943 2.6927 Tl
```

=====

[8]
## AcNdGdTl (PBE)

Data for an optimized crystal structure of AcNdGdTl.

- Size of the total moment: 8.5 μB per formula unit
- Density of states at the Fermi level: 1.43 states/eV per atom
- Energy of formation from the pure elements: -0.064 eV/atom

```
AcNdGdTl
1.0
5.7448 0.0000 0.0000
2.8724 4.9751 0.0000
2.8724 1.6584 4.6906
Ac Gd Nd Tl
1 1 1 1
Cartesian
8.6171 4.9751 3.5179 Ac
5.7448 3.3167 2.3453 Gd
2.8724 1.6584 1.1726 Nd
0.0000 0.0000 0.0000 Tl
```

=====

[9]
## Ce5PuPt4 (PBE)

Data for an optimized crystal structure of Ce5PuPt4.

- Size of the total moment: 8.3 μB per formula unit
- Density of states at the Fermi level: 2.98 states/eV per atom
- Energy of formation from the pure elements: -0.720 eV/atom

```
Ce5PuPt4
1.0
4.5346 0.0000 0.0000
0.0000 7.2553 0.5895
-2.2673 -0.3676 7.6204
Ce Pt Pu
5 4 1
Cartesian
0.0000 6.5397 2.9711 Ce
2.2673 3.7844 4.9212 Ce
2.2673 3.6276 0.2947 Ce
2.2673 0.3479 5.2387 Ce
0.0000 3.1033 3.2887 Ce
2.2673 5.0879 7.7272 Pt
0.0000 5.5001 5.6032 Pt
2.2673 1.3876 2.6067 Pt
0.0000 1.7997 0.4826 Pt
2.2673 0.0000 0.0000 Pu
```

=====

[10]
## MnSe3S (PBE)

Data for an optimized crystal structure of MnSe3S.

- Size of the total moment: 4.8 μB per formula unit
- Density of states at the Fermi level: 0.51 states/eV per atom
- Offset from the most stable computed form: 0.026 eV/atom

```
MnSe3S
1.0
-1.5341 -1.3572 4.3915
0.0708 -4.6361 -1.4081
4.5959 -0.3816 1.4875
Mn S Se
1 1 3
Cartesian
1.5663 -3.1875 2.2355 Mn
0.0000 0.0000 0.0000 S
-0.7670 -0.6786 2.1958 Se
2.2980 -0.1908 0.7438 Se
0.0354 -2.3180 -0.7040 Se
```

=====

[11]
## PaHg2Bi (PBE)

Data for an optimized crystal structure of PaHg2Bi.

- Size of the total moment: 0.8 μB per formula unit
- Density of states at the Fermi level: 1.40 states/eV per atom
- Energy of formation from the pure elements: 0.004 eV/atom
- Offset from the most stable computed form: 0.082 eV/atom

```
PaHg2Bi
1.0
-0.8616 1.3098 -3.8917
-4.3132 -2.1819 0.2206
0.5112 4.7330 3.7413
Hg Pa Bi
2 1 1
Cartesian
-1.4808 2.8281 -0.9820 Hg
-3.1828 1.0328 1.0522 Hg
0.0000 0.0000 0.0000 Pa
-2.5874 -0.4361 -1.8356 Bi
```

=====

[12]
## Cr2ReTe (PBE)

Data for an optimized crystal structure of Cr2ReTe.

- Size of the total moment: 0.7 μB per formula unit
- Density of states at the Fermi level: 0.90 states/eV per atom
- Total energy: -8.174 eV/atom

```
Cr2ReTe
1.0
3.2119 0.0000 0.0000
0.0000 4.4129 0.0000
0.0000 0.0000 4.3362
Cr Re Te
2 1 1
Cartesian
1.6059 2.2064 0.0000 Cr
0.0000 0.0000 0.0000 Cr
1.6059 0.0000 2.1681 Re
0.0000 2.2064 2.1681 Te
```

=====

[13]
## TbFe4Ir (PBE)

Data for an optimized crystal structure of TbFe4Ir.

- Size of the total moment: 10.6 μB per formula unit
- Density of states at the Fermi level: 0.83 states/eV per atom
- Energy of formation from the pure elements: -0.072 eV/atom

```
TbFe4Ir
1.0
-4.6412 1.3385 1.2038
-2.0909 -1.7418 4.1684
-0.7902 3.0529 3.8518
Fe Ir Tb
4 1 1
Cartesian
-4.3093 0.1230 3.8349 Fe
-3.6554 2.5335 3.6757 Fe
-2.3733 0.9849 5.1661 Fe
-4.7065 1.6579 5.7713 Fe
0.0000 0.0000 0.0000 Ir
-1.8806 0.6624 2.3060 Tb
```

=====

[14]
## BeNb2Ni (PBE)

Data for an optimized crystal structure of BeNb2Ni.

- Size of the total moment: 0.0 μB per formula unit
- Density of states at the Fermi level: 0.96 states/eV per atom
- Energy of formation from the pure elements: 0.337 eV/atom

```
BeNb2Ni
1.0
-2.4374 1.6040 -6.2004
5.2933 -3.2303 -2.9164
0.0847 -2.9840 -4.5920
Nb Be Ni
4 2 2
Cartesian
3.0377 -2.5729 -3.7129 Nb
1.1064 -2.8307 -6.8473 Nb
-0.8535 -0.1388 -5.4207 Nb
2.5904 -3.6781 -11.4367 Nb
3.4029 -3.5137 -6.0334 Be
1.4279 -0.8132 -4.5584 Be
0.0000 0.0000 0.0000 Ni
-0.4624 -1.0966 -7.6754 Ni
```

=====

[15]
## Pm2NbCuO6 (PBE)

Data for an optimized crystal structure of Pm2NbCuO6.

- Size of the total moment: 0.1 μB per formula unit
- Total energy: -7.832 eV/atom

```
Pm2NbCuO6
1.0
5.2426 0.0000 0.0000
0.0000 5.2423 0.0000
0.0000 0.0000 5.2423
Cu O Pm Nb
1 6 2 1
Cartesian
2.6557 2.6211 2.6211 Cu
3.8760 1.2705 1.2705 O
3.8760 3.9717 3.9717 O
0.7814 2.6211 2.6211 O
1.1538 0.0000 0.0000 O
3.8760 1.2705 3.9717 O
3.8760 3.9717 1.2705 O
0.0516 2.6211 0.0000 Pm
0.0516 0.0000 2.6211 Pm
3.1140 0.0000 0.0000 Nb
```

=====

[16]
## HoHfAlCd (PBE)

Data for an optimized crystal structure of HoHfAlCd.

- Size of the total moment: 0.0 μB per formula unit
- Density of states at the Fermi level: 0.51 states/eV per atom
- Energy of formation from the pure elements: -0.169 eV/atom

```
HoHfAlCd
1.0
4.9935 0.0000 0.0000
2.4967 4.3245 0.0000
2.4967 1.4415 4.0772
Ho Hf Cd Al
1 1 1 1
Cartesian
4.9935 2.8830 2.0386 Ho
0.0000 0.0000 0.0000 Hf
7.4902 4.3245 3.0579 Cd
2.4967 1.4415 1.0193 Al
```

=====

[17]
## Cs2PuCdSe4 (PBE)

Data for an optimized crystal structure of Cs2PuCdSe4.

- Size of the total moment: 4.0 μB per formula unit
- Density of states at the Fermi level: 0.85 states/eV per atom
- Total energy: -4.850 eV/atom

```
Cs2PuCdSe4
1.0
-6.5586 -1.2844 0.2636
-1.8651 -7.0473 4.1105
-4.1541 6.1236 11.3347
Cd Cs Se Pu
2 4 8 2
Cartesian
-3.2793 -0.6422 0.1318 Cd
-4.6492 -0.7829 7.7885 Cd
-6.8729 1.1465 4.2887 Cs
-3.8398 3.6927 7.3096 Cs
-7.6142 -3.8560 3.8952 Cs
-8.2428 1.0058 11.9454 Cs
-11.1454 -1.2598 13.6309 Se
-5.9043 -3.1573 7.5074 Se
-4.7186 -1.5918 2.2099 Se
-6.6804 0.9479 8.2016 Se
-5.4022 3.7506 11.0534 Se
-3.8893 -5.3151 4.5233 Se
-3.2099 0.1667 5.7103 Se
-9.3609 -2.3733 9.9981 Se
-7.9285 -1.4251 7.9203 Pu
0.0000 0.0000 0.0000 Pu
```

=====

[18]
## YCu2Te (PBE)

Data for an optimized crystal structure of YCu2Te.

- Size of the total moment: 0.0 μB per formula unit
- Density of states at the Fermi level: 0.32 states/eV per atom
- Total energy: -4.639 eV/atom

```
YCu2Te
1.0
-2.7133 0.7209 -2.4253
-1.9834 -2.8140 1.3825
-2.5117 3.6897 3.9068
Te Cu Y
1 2 1
Cartesian
-2.9763 -0.1241 0.4553 Te
-0.0111 0.0164 0.0173 Cu
-1.2447 1.8285 1.9360 Cu
-4.2321 1.7208 2.4087 Y
```

=====

[19]
## Li5MgAl (PBE)

Data for an optimized crystal structure of Li5MgAl.

- Size of the total moment: 0.0 μB per formula unit
- Density of states at the Fermi level: 0.41 states/eV per atom
- Energy of formation from the pure elements: -0.026 eV/atom
- Offset from the most stable computed form: 0.000 eV/atom

```
Li5MgAl
1.0
-4.9320 2.4927 0.7923
-3.6742 0.2491 -4.1957
-3.9556 -8.4899 2.8212
Mg Li Al
2 10 2
Cartesian
-1.9778 -4.2449 1.4106 Mg
0.0000 0.0000 0.0000 Mg
-5.0109 -3.3108 0.2366 Li
-2.9529 -1.6139 -0.2436 Li
-5.0203 -5.6990 1.5223 Li
-7.5508 -2.4373 -0.8188 Li
-7.5955 -4.4156 1.7056 Li
-9.5330 -6.6744 0.6092 Li
-9.6088 -4.1342 -0.3387 Li
-4.9663 -1.3325 -2.2879 Li
-7.5414 -0.0490 -2.1045 Li
-3.0287 0.9263 -1.1914 Li
-5.5459 -0.2987 0.0104 Al
-7.0159 -5.4494 -0.5927 Al
```

=====

[20]
## Ga2PdRu (PBE)

Data for an optimized crystal structure of Ga2PdRu.

- Size of the total moment: 0.0 μB per formula unit
- Density of states at the Fermi level: 0.64 states/eV per atom
- Energy of formation from the pure elements: -0.196 eV/atom

```
Ga2PdRu
1.0
3.6646 0.0000 0.0000
1.8323 3.1736 0.0000
1.8323 1.0579 5.6567
Ga Pd Ru
2 1 1
Cartesian
1.8323 1.0579 1.3584 Ga
1.8323 1.0579 4.2987 Ga
3.6646 2.1157 2.8941 Pd
5.4969 3.1736 5.5905 Ru
```